VASP calculation (PBE) on K2Cu2Te5 after structural relaxation.

Cell lengths 11.562, 7.746, 12.229 Å; angles 90.00, 90.00, 90.00 degrees
Space group Cmcm (No. 63)
Symmetry-distinct sites (fractional):
1 K 0.205 0.000 0.000
2 Cu 0.111 0.428 0.250
3 Te 0.000 0.019 0.750
4 Te 0.000 0.347 0.067
5 Te 0.192 0.253 0.750

**Crystal system**: orthorhombic
**Energy**: -3.31 eV per atom
**Magnetic moment**: 0.0000 μB/atom

***

VASP calculation (PBE) on KCuTe after structural relaxation.

Cell lengths 4.4702, 4.4702, 5.1520 Å; angles 90.00, 90.00, 120.00 degrees
Space group P3m1 (No. 156)
Symmetry-distinct sites (fractional):
1 K 0.0000 0.0000 0.0000
2 Cu 0.3333 0.6667 0.4979
3 Te 0.6667 0.3333 0.4996

**Crystal system**: trigonal
**Energy**: -3.37 eV per atom
**Magnetic moment**: 0.0000 μB/atom

***

VASP calculation (PBE) on KCuTe2 after structural relaxation.

Cell lengths 3.9516, 3.9516, 28.8006 Å; angles 90.00, 90.00, 120.00 degrees
Space group R-3m (No. 166, hexagonal axes)
Symmetry-distinct sites (fractional):
1 K 0.0000 0.0000 0.0000
2 Cu 0.0000 0.0000 0.5000
3 Te 0.0000 0.0000 0.1152

**Crystal system**: trigonal
**Energy**: -2.94 eV per atom
**Magnetic moment**: 0.0000 μB/atom

***

VASP calculation (PBE) on K2Cu2Te after structural relaxation.

Cell lengths 7.320, 7.320, 5.060 Å; angles 90.00, 90.00, 90.00 degrees
Space group P4/mbm (No. 127)
Symmetry-distinct sites (fractional):
1 K 0.188 0.312 0.000
2 Cu 0.115 0.615 0.500
3 Te 0.000 0.000 0.500

**Crystal system**: tetragonal
**Energy**: -2.79 eV per atom
**Magnetic moment**: 0.0000 μB/atom

***

VASP calculation (PBE) on KCu2Te after structural relaxation.

Cell lengths 4.327, 6.559, 8.138 Å; angles 90.00, 90.00, 90.00 degrees
Space group Imm2 (No. 44)
Symmetry-distinct sites (fractional):
1 K 0.000 0.000 0.000
2 Cu 0.000 0.000 0.482
3 Cu 0.000 0.500 0.842
4 Te 0.000 0.500 0.159

**Crystal system**: orthorhombic
**Energy**: -2.98 eV per atom
**Magnetic moment**: 0.0013 μB/atom

***

VASP calculation (PBE) on KCu2Te after structural relaxation.

Cell lengths 4.6767, 4.6767, 17.3663 Å; angles 90.00, 90.00, 120.00 degrees
Space group R-3m (No. 166, hexagonal axes)
Symmetry-distinct sites (fractional):
1 K 0.0000 0.0000 0.0000
2 Cu 0.0000 0.0000 0.1808
3 Te 0.0000 0.0000 0.5000

**Crystal system**: trigonal
**Energy**: -3.15 eV per atom
**Magnetic moment**: 0.0000 μB/atom

***

VASP calculation (PBE) on KCu6Te4 after structural relaxation.

Cell lengths 4.210, 4.210, 27.999 Å; angles 90.00, 90.00, 90.00 degrees
Space group I4/mmm (No. 139)
Symmetry-distinct sites (fractional):
1 K 0.000 0.000 0.000
2 Cu 0.000 0.500 0.130
3 Cu 0.000 0.500 0.250
4 Te 0.000 0.000 0.192
5 Te 0.000 0.000 0.425

**Crystal system**: tetragonal
**Energy**: -3.64 eV per atom
**Magnetic moment**: 0.0000 μB/atom

***

VASP calculation (PBE) on KCu3Te after structural relaxation.

Cell lengths 5.022, 5.022, 5.022 Å; angles 90.00, 90.00, 90.00 degrees
Space group Pm-3m (No. 221)
Symmetry-distinct sites (fractional):
1 K 0.000 0.000 0.000
2 Cu 0.000 0.000 0.500
3 Te 0.500 0.500 0.500

**Crystal system**: cubic
**Energy**: -1.85 eV per atom
**Magnetic moment**: 0.0000 μB/atom